(1)
VASP calculation (PBE-GGA) on LaInSF2 after structural relaxation.

Lattice parameters (Å, degrees): 4.6830 4.6830 5.7531 90.00 90.00 90.00
With the nearest neighbours (Å) after each atom.
Positions (direct):
La: 0.0000 0.0000 0.0000  4 F 2.34
S: 0.0000 0.0000 0.5000  2 La 2.88
In: 0.5000 0.5000 0.5000  4 S 3.31
F: 0.0000 0.5000 0.0000  2 La 2.34
F: 0.5000 0.0000 0.0000  2 La 2.34

Summary:
size of the total moment: 0.00 μB per formula unit
electronic total energy: -28.1 eV for the cell shown
ΔE_f (raw): -2.514 eV per atom

***

(2)
VASP calculation (PBE-GGA) on Pm2NdSm3N6 after structural relaxation.

Lattice parameters (Å, degrees): 3.6088 7.2169 8.0651 102.93 102.93 90.00
With the nearest neighbours (Å) after each atom.
Positions (direct):
Nd: 0.5000 0.0000 0.0000  6 N 2.57
N: 0.0002 0.7472 0.0005  3 Sm 2.54-2.55, 1 Pm 2.56, 2 Nd 2.57
Sm: 0.1670 0.8331 0.3340  6 N 2.53-2.55
N: 0.3321 0.9170 0.6643  3 Sm 2.53-2.55, 2 Pm 2.56, 1 Nd 2.57
Pm: 0.8331 0.6661 0.6661  6 N 2.55-2.56
N: 0.6679 0.0830 0.3357  3 Sm 2.53-2.55, 2 Pm 2.56, 1 Nd 2.57
Sm: 0.8330 0.1669 0.6660  6 N 2.53-2.55
N: 0.9998 0.2528 0.9995  3 Sm 2.54-2.55, 1 Pm 2.56, 2 Nd 2.57
Sm: 0.5000 0.5000 0.0000  6 N 2.54-2.55
N: 0.3334 0.4158 0.6669  3 Sm 2.55, 3 Pm 2.55
Pm: 0.1669 0.3339 0.3339  6 N 2.55-2.56
N: 0.6666 0.5841 0.3331  3 Sm 2.55, 3 Pm 2.55

Summary:
size of the total moment: 0.00 μB per formula unit
electronic total energy: -95.7 eV for the cell shown
ΔE_f (raw): -1.445 eV per atom

***

What is the ΔE_f (raw) in the first record?
-2.514 eV per atom